No. 1
Here is an optimized crystal structure of SmAs from OQMD via LeMat-Bulk. Energies are from GGA-PBE.

Results
SG	No. 123

Cell lengths 3.822, 3.822, 3.240 Å; angles 90.00, 90.00, 90.00 degrees
Atoms (fractional coordinates):
As: 0.000 0.000 0.500
Sm: 0.500 0.500 0.000

No. 2
Here is an optimized crystal structure of Cu2Ag3 from OQMD via LeMat-Bulk. Energies are from GGA-PBE.

Results
polymorph energy (0 for the lowest one)	0.060	eV per atom
ΔH_f (0 K)	0.092	eV per atom
SG	No. 160

Cell lengths 22.267, 22.267, 22.267 Å; angles 7.35, 7.35, 7.35 degrees
Atoms (fractional coordinates):
Ag: 0.696 0.696 0.696
Ag: 0.204 0.204 0.204
Ag: 0.501 0.501 0.501
Ag: 0.797 0.797 0.797
Ag: 0.602 0.602 0.602
Ag: 0.399 0.399 0.399
Cu: 0.098 0.098 0.098
Cu: 0.903 0.903 0.903
Cu: 0.997 0.997 0.997
Cu: 0.302 0.302 0.302

No. 3
Here is an optimized crystal structure of NaYFeMo from OQMD via LeMat-Bulk. Energies are from GGA-PBE.

Results
polymorph energy (0 for the lowest one)	0.274	eV per atom
SG	No. 216

Cell lengths 4.868, 4.868, 4.868 Å; angles 60.00, 60.00, 60.00 degrees
Atoms (fractional coordinates):
Fe: 0.500 0.500 0.500
Y: 0.250 0.250 0.250
Na: 0.750 0.750 0.750
Mo: 0.000 0.000 0.000

Number 1: electronic total energy -5.76 eV/atom. Number 2: electronic total energy -3.09 eV/atom. Number 3: electronic total energy -5.68 eV/atom.